(1)
# AlCl, relaxed, DFT PBE
data_AlCl
_symmetry_space_group_name_H-M 'P m m a'
_symmetry_Int_Tables_number 51
_cell_length_a 4.787
_cell_length_b 3.449
_cell_length_c 7.811
_cell_angle_alpha 90.00
_cell_angle_beta 90.00
_cell_angle_gamma 90.00
loop_
_symmetry_equiv_pos_as_xyz
'x,y,z'
'-x,-y,-z'
'-x+1/2,-y,z'
'x+1/2,y,-z'
'x+1/2,-y,-z'
'-x+1/2,y,z'
'-x,y,-z'
'x,-y,z'
loop_
_atom_site_label
_atom_site_fract_x
_atom_site_fract_y
_atom_site_fract_z
_atom_site_occupancy
Al1 0.250 0.000 0.068 1
Cl1 0.250 0.500 0.274 1
# * formation energy (no corrections): -0.765 eV per atom
# * V: 32.2 A^3/atom

=====

(2)
# Th2CuNi2, relaxed, DFT PBE
data_Th2CuNi2
_symmetry_space_group_name_H-M 'P 4/m b m'
_symmetry_Int_Tables_number 127
_symmetry_space_group_name_Hall '-P 4 2ab'
_cell_length_a 7.318
_cell_length_b 7.318
_cell_length_c 3.737
_cell_angle_alpha 90.00
_cell_angle_beta 90.00
_cell_angle_gamma 90.00
loop_
_atom_site_label
_atom_site_fract_x
_atom_site_fract_y
_atom_site_fract_z
_atom_site_occupancy
Th1 0.179 0.321 0.000 1
Cu1 0.000 0.000 0.500 1
Ni1 0.124 0.624 0.500 1
# * energy of formation: -0.37 eV per atom
# * V: 20.0 A^3/atom

=====

(3)
# Mg2Tc, relaxed, DFT PBE
data_Mg2Tc
_symmetry_space_group_name_H-M 'P -6 m 2'
_symmetry_Int_Tables_number 187
_symmetry_space_group_name_Hall 'P -6 2'
_cell_length_a 2.9063
_cell_length_b 2.9063
_cell_length_c 14.4838
_cell_angle_alpha 90.00
_cell_angle_beta 90.00
_cell_angle_gamma 120.00
loop_
_atom_site_label
_atom_site_fract_x
_atom_site_fract_y
_atom_site_fract_z
_atom_site_occupancy
Mg1 0.0000 0.0000 0.0000 1
Mg2 0.0000 0.0000 0.3157 1
Mg3 0.6667 0.3333 0.5000 1
Tc1 0.6667 0.3333 0.1598 1
# * energy of formation: 0.27 eV per atom
# * V: 17.7 A^3/atom
# * energy relative to the lowest polymorph listed for this composition: 265 meV per atom